1.
The following is a DFT calculation (PBE) of Mg2Cd6Hg after structural relaxation.

It has space group C2/m (No. 12), with a = 14.668 Å, b = 3.337 Å, c = 10.344 Å, α = 90.00°, β = 126.14° and γ = 90.00°. The distinct sites, in fractional coordinates, are Mg at (0.164, 0.000, 0.298), Cd at (0.044, 0.500, 0.746), Cd at (0.119, 0.000, 0.544), Cd at (0.235, 0.500, 0.107) and Hg at (0.000, 0.500, 0.000).

The calculation puts the energy relative to the elements at -0.05 eV/atom. Its total energy is -1.043 eV/atom. For the density of states at the Fermi level, the calculation gives 6.3 states/eV per cell. The distance to the lowest polymorph of the same formula comes out at 0 meV/atom.



2.
The following is a DFT calculation (PBE) of MoAs2Se after structural relaxation.

It has space group C2/m (No. 12), with a = 9.149 Å, b = 3.283 Å, c = 4.936 Å, α = 90.00°, β = 98.23° and γ = 90.00°. The distinct sites, in fractional coordinates, are Mo at (0.000, 0.000, 0.000), As at (0.217, 0.500, 0.203) and Se at (0.000, 0.500, 0.500).

The uncorrected formation energy is 214 meV per atom. Its total energy is -5.690 eV/atom. For the density of states at the Fermi level, the calculation gives 6.5 states/eV per cell.



3.
The following is a DFT calculation (PBE) of BaZrAs2 after structural relaxation.

It has space group P-4m2 (No. 115), with a = 5.273 Å, b = 5.273 Å, c = 4.498 Å, α = 90.00°, β = 90.00° and γ = 90.00°. The distinct sites, in fractional coordinates, are Ba at (0.000, 0.000, 0.000), Zr at (0.500, 0.500, 0.500) and As at (0.000, 0.500, 0.445).

The calculation puts the energy relative to the elements at -0.71 eV/atom. Its total energy is -5.649 eV/atom. For the density of states at the Fermi level, the calculation gives 1.6 states/eV per cell. The distance to the lowest polymorph of the same formula comes out at 377 meV/atom.



Q: Which of these has the highest density of states at the Fermi level?
A: MoAs2Se



Q: What is the density of states at the Fermi level in the third record?
A: 1.6 states/eV per cell



Q: Number 1 is which compound?
A: Mg2Cd6Hg